This record from the Alexandria database describes an optimized crystal structure of KCr3Ge. The functional is GGA-PBE.

CIF file:
```
data_KCr3Ge
_chemical_formula_sum 'K1 Cr3 Ge1'
_symmetry_space_group_name_H-M 'P m -3 m'
_symmetry_Int_Tables_number 221
_symmetry_space_group_name_Hall '-P 4 2 3'
_cell_length_a 5.0500
_cell_length_b 5.0500
_cell_length_c 5.0500
_cell_angle_alpha 90.00
_cell_angle_beta 90.00
_cell_angle_gamma 90.00
loop_
_atom_site_label
_atom_site_type_symbol
_atom_site_fract_x
_atom_site_fract_y
_atom_site_fract_z
_atom_site_occupancy
K1 K 0.0000 0.0000 0.0000 1
Cr1 Cr 0.0000 0.5000 0.5000 1
Ge1 Ge 0.5000 0.5000 0.5000 1
```

- Formation energy: 0.968 eV/atom
- Energy: -5.95 eV per atom
- Total magnetic moment: 2.677 μB/atom
- Polymorph energy (0 for the lowest one): 0 meV per atom

This record from the Alexandria database describes an optimized crystal structure of Tm2ZnHg3. The functional is GGA-PBE.

CIF file:
```
data_Tm2ZnHg3
_chemical_formula_sum 'Tm16 Zn8 Hg24'
_symmetry_space_group_name_H-M 'F m m m'
_symmetry_Int_Tables_number 69
_symmetry_space_group_name_Hall '-F 2 2'
_cell_length_a 6.8538
_cell_length_b 9.5631
_cell_length_c 16.5891
_cell_angle_alpha 90.00
_cell_angle_beta 90.00
_cell_angle_gamma 90.00
loop_
_atom_site_label
_atom_site_type_symbol
_atom_site_fract_x
_atom_site_fract_y
_atom_site_fract_z
_atom_site_occupancy
Tm1 Tm 0.2483 0.0000 0.0000 1
Tm2 Tm 0.2500 0.2500 0.2500 1
Zn1 Zn 0.0000 0.0000 0.3324 1
Hg1 Hg 0.0000 0.0000 0.1717 1
Hg2 Hg 0.0000 0.2402 0.4136 1
```

- Formation energy: -0.370 eV/atom
- Energy: -2.22 eV per atom
- Total magnetic moment: 0.000 μB/atom